Computed, not measured: an optimized crystal structure of LiP2Ir at the PBEsol level of DFT.

```
LiP2Ir
1.0
5.8526 0.0000 0.0000
0.0000 5.8526 0.0000
0.0000 0.0000 5.8526
Li P Ir
4 8 4
direct
0.0000 0.0000 0.0000
0.0000 0.5000 0.5000
0.5000 0.0000 0.5000
0.5000 0.5000 0.0000
0.0000 0.0000 0.5000
0.0000 0.5000 0.0000
0.2500 0.2500 0.7500
0.2500 0.7500 0.2500
0.5000 0.0000 0.0000
0.5000 0.5000 0.5000
0.7500 0.2500 0.2500
0.7500 0.7500 0.7500
0.2500 0.2500 0.2500
0.2500 0.7500 0.7500
0.7500 0.2500 0.7500
0.7500 0.7500 0.2500
```

Results
formation energy from the elements = 19 kJ/mol of formula units
E above lowest polymorph = 250 meV per atom
total DFT energy (no corrections) = -5.79 eV per atom
space-group type = No. 216